# 1
A relaxed structure of CaBe3P, computed with PBE-GGA.

Structure (CIF):
```
data_CaBe3P
_chemical_formula_sum 'Ca1 Be3 P1'
_cell_length_a 4.312
_cell_length_b 4.312
_cell_length_c 4.312
_cell_angle_alpha 90.00
_cell_angle_beta 90.00
_cell_angle_gamma 90.00
_space_group_name_H-M_alt 'P 1'
_space_group_IT_number 1
loop_
_space_group_symop_operation_xyz
'x,y,z'
loop_
_atom_site_label
_atom_site_type_symbol
_atom_site_fract_x
_atom_site_fract_y
_atom_site_fract_z
P1 P 0.000 0.000 0.000
Ca1 Ca 0.500 0.500 0.500
Be1 Be 0.000 0.500 0.000
Be2 Be 0.000 0.000 0.500
Be3 Be 0.500 0.000 0.000
```

Summary:
The volume comes out at 80.16 Å³/cell. The value obtained for the total magnetic moment is 0.00 μB per cell. As for the space group: Pm-3m. Its mass density is 2.0 g cm⁻³. For the formation energy, the calculation gives 0.519 eV per atom.



# 2
A relaxed structure of SrNbN2F, computed with PBE-GGA.

Structure (CIF):
```
data_SrNbN2F
_chemical_formula_sum 'Sr1 Nb1 N2 F1'
_cell_length_a 4.142
_cell_length_b 4.142
_cell_length_c 4.196
_cell_angle_alpha 90.00
_cell_angle_beta 90.00
_cell_angle_gamma 90.00
_space_group_name_H-M_alt 'P 1'
_space_group_IT_number 1
loop_
_space_group_symop_operation_xyz
'x,y,z'
loop_
_atom_site_label
_atom_site_type_symbol
_atom_site_fract_x
_atom_site_fract_y
_atom_site_fract_z
Sr1 Sr 0.500 0.500 0.500
Nb1 Nb 0.000 0.000 0.000
N1 N 0.000 0.500 0.000
N2 N 0.500 0.000 0.000
F1 F 0.000 0.000 0.500
```

Summary:
The volume comes out at 71.98 Å³/cell. The calculation puts the uncorrected formation energy at -1.40 eV/atom. The value obtained for the total magnetic moment is 0.10 μB per cell. As for the space group: P4/mmm. Its mass density is 5.2 g cm⁻³.



# 3
A relaxed structure of Gd2NiGe, computed with PBE-GGA.

Structure (CIF):
```
data_Gd2NiGe
_chemical_formula_sum 'Gd2 Ni1 Ge1'
_cell_length_a 3.462
_cell_length_b 3.462
_cell_length_c 7.215
_cell_angle_alpha 90.00
_cell_angle_beta 90.00
_cell_angle_gamma 90.00
_space_group_name_H-M_alt 'P 1'
_space_group_IT_number 1
loop_
_space_group_symop_operation_xyz
'x,y,z'
loop_
_atom_site_label
_atom_site_type_symbol
_atom_site_fract_x
_atom_site_fract_y
_atom_site_fract_z
Ni1 Ni 0.500 0.500 0.000
Ge1 Ge 0.500 0.500 0.500
Gd1 Gd 0.000 0.000 0.764
Gd2 Gd 0.000 0.000 0.236
```

Summary:
The volume comes out at 86.45 Å³/cell. The value obtained for the total magnetic moment is 14.14 μB per cell. As for the space group: P4/mmm. Its mass density is 8.6 g cm⁻³. For the formation energy, the calculation gives -0.508 eV per atom.



# 4
A relaxed structure of NpSnN, computed with PBE-GGA.

Structure (CIF):
```
data_NpSnN
_chemical_formula_sum 'Np1 Sn1 N1'
_cell_length_a 5.251
_cell_length_b 3.704
_cell_length_c 3.704
_cell_angle_alpha 120.00
_cell_angle_beta 90.00
_cell_angle_gamma 90.00
_space_group_name_H-M_alt 'P 1'
_space_group_IT_number 1
loop_
_space_group_symop_operation_xyz
'x,y,z'
loop_
_atom_site_label
_atom_site_type_symbol
_atom_site_fract_x
_atom_site_fract_y
_atom_site_fract_z
Np1 Np 0.167 0.000 0.000
Sn1 Sn 0.667 0.667 0.333
N1 N 0.167 0.333 0.667
```

Summary:
The volume comes out at 62.39 Å³/cell. The calculation puts the uncorrected formation energy at -0.43 eV/atom. The value obtained for the total magnetic moment is 2.48 μB per cell. As for the space group: P-6m2. Its mass density is 9.8 g cm⁻³.



# 5
A relaxed structure of LaV2Mo, computed with PBE-GGA.

Structure (CIF):
```
data_LaV2Mo
_chemical_formula_sum 'La2 V4 Mo2'
_cell_length_a 4.694
_cell_length_b 4.694
_cell_length_c 9.189
_cell_angle_alpha 75.20
_cell_angle_beta 75.20
_cell_angle_gamma 90.00
_space_group_name_H-M_alt 'P 1'
_space_group_IT_number 1
loop_
_space_group_symop_operation_xyz
'x,y,z'
loop_
_atom_site_label
_atom_site_type_symbol
_atom_site_fract_x
_atom_site_fract_y
_atom_site_fract_z
Mo1 Mo 0.500 0.500 0.000
Mo2 Mo 0.250 0.750 0.500
La1 La 0.000 0.000 0.000
La2 La 0.750 0.250 0.500
V1 V 0.375 0.125 0.250
V2 V 0.375 0.625 0.250
V3 V 0.375 0.625 0.750
V4 V 0.875 0.625 0.750
```

Summary:
The volume comes out at 188.80 Å³/cell. The value obtained for the total magnetic moment is 0.96 μB per cell. As for the space group: I4_1/amd. Its mass density is 5.9 g cm⁻³. For the formation energy, the calculation gives 0.958 eV per atom.



# 6
A relaxed structure of Pm5Er5Tm, computed with PBE-GGA.

Structure (CIF):
```
data_Pm5Er5Tm
_chemical_formula_sum 'Pm5 Er5 Tm1'
_cell_length_a 5.940
_cell_length_b 9.879
_cell_length_c 7.009
_cell_angle_alpha 110.68
_cell_angle_beta 90.00
_cell_angle_gamma 107.50
_space_group_name_H-M_alt 'P 1'
_space_group_IT_number 1
loop_
_space_group_symop_operation_xyz
'x,y,z'
loop_
_atom_site_label
_atom_site_type_symbol
_atom_site_fract_x
_atom_site_fract_y
_atom_site_fract_z
Pm1 Pm 0.824 0.648 0.068
Pm2 Pm 0.824 0.648 0.579
Pm3 Pm 0.500 0.000 0.000
Pm4 Pm 0.176 0.352 0.421
Pm5 Pm 0.176 0.352 0.932
Er1 Er 0.669 0.337 0.169
Er2 Er 0.622 0.244 0.623
Er3 Er 0.000 0.000 0.500
Er4 Er 0.378 0.756 0.377
Er5 Er 0.331 0.663 0.831
Tm1 Tm 0.000 0.000 0.000
```

Summary:
The volume comes out at 364.37 Å³/cell. The value obtained for the total magnetic moment is 0.63 μB per cell. As for the space group: C2/m. Its mass density is 7.9 g cm⁻³. For the formation energy, the calculation gives 0.269 eV per atom.



# 7
A relaxed structure of K4Au2O, computed with PBE-GGA.

Structure (CIF):
```
data_K4Au2O
_chemical_formula_sum 'K4 Au2 O1'
_cell_length_a 5.048
_cell_length_b 5.048
_cell_length_c 10.359
_cell_angle_alpha 75.90
_cell_angle_beta 75.90
_cell_angle_gamma 90.00
_space_group_name_H-M_alt 'P 1'
_space_group_IT_number 1
loop_
_space_group_symop_operation_xyz
'x,y,z'
loop_
_atom_site_label
_atom_site_type_symbol
_atom_site_fract_x
_atom_site_fract_y
_atom_site_fract_z
K1 K 0.693 0.693 0.614
K2 K 0.307 0.307 0.386
K3 K 0.000 0.500 0.000
K4 K 0.500 0.000 0.000
Au1 Au 0.868 0.868 0.264
Au2 Au 0.132 0.132 0.736
O1 O 0.000 0.000 0.000
```

Summary:
The volume comes out at 247.82 Å³/cell. The calculation puts the uncorrected formation energy at -0.41 eV/atom. The value obtained for the total magnetic moment is 0.00 μB per cell. As for the space group: I4/mmm. Its mass density is 3.8 g cm⁻³.



# 8
A relaxed structure of AsBr2, computed with PBE-GGA.

Structure (CIF):
```
data_AsBr2
_chemical_formula_sum 'As2 Br4'
_cell_length_a 6.228
_cell_length_b 6.228
_cell_length_c 9.178
_cell_angle_alpha 84.82
_cell_angle_beta 84.82
_cell_angle_gamma 32.03
_space_group_name_H-M_alt 'P 1'
_space_group_IT_number 1
loop_
_space_group_symop_operation_xyz
'x,y,z'
loop_
_atom_site_label
_atom_site_type_symbol
_atom_site_fract_x
_atom_site_fract_y
_atom_site_fract_z
As1 As 0.979 0.979 0.907
As2 As 0.363 0.363 0.725
Br1 Br 0.608 0.608 0.214
Br2 Br 0.637 0.637 0.765
Br3 Br 0.912 0.912 0.510
Br4 Br 0.334 0.334 0.045
```

Summary:
The volume comes out at 187.94 Å³/cell. The calculation puts the uncorrected formation energy at 0.06 eV/atom. The value obtained for the total magnetic moment is 0.23 μB per cell. As for the space group: Cm. Its mass density is 4.1 g cm⁻³.